A plane-wave DFT calculation with PBE-GGA was carried out for a relaxed structure of YSc2Be.

```
4
Lattice="6.118 -0.001 -0.001 -3.139 5.251 -0.001 0.801 1.412 2.833" Properties=species:S:1:pos:R:3 pbc="T T T"
Y 3.460 0.705 1.416
Sc 0.000 0.000 0.000
Sc 1.490 2.625 -0.001
Be -1.169 3.332 1.416
```

Summary:
Space-group type: C2/m (12)
Uncorrected energy: -5.37 eV per atom
D(E_F): 4.4 states/eV per cell
Formation energy from the elements: 341 meV per atom



A plane-wave DFT calculation with PBE-GGA was carried out for a relaxed structure of InWBr.

```
3
Lattice="8.884 0.025 -0.015 8.003 3.060 -0.059 0.881 -1.523 2.625" Properties=species:S:1:pos:R:3 pbc="T T T"
Br 1.429 -1.365 2.533
W 11.405 1.507 0.851
In 5.816 -0.102 1.793
```

Summary:
Space-group type: Fmm2 (42)
Uncorrected energy: -5.10 eV per atom
E_form (uncorrected): 0.692 eV per atom
D(E_F): 3.2 states/eV per cell